Compound: AcNdSmY
Source: the Alexandria database
Functional: PBE
Structure: optimized geometry

## Properties
**Electronic total energy**: -39.8 eV per cell
**DFT formation energy**: 18 kJ/mol of formula units
**Polymorph energy (0 for the lowest one)**: 0.0 meV per atom

Lattice parameters (Å, degrees): 5.269 5.269 10.520 90.00 90.00 90.00
Space group I-4m2 (No. 119)
Inequivalent atoms, fractional coordinates:
1 Ac 0.000 0.000 0.000
2 Nd 0.000 0.500 0.250
3 Sm 0.000 0.500 0.750
4 Y 0.000 0.000 0.500


Compound: KSe
Source: the Alexandria database
Functional: PBE
Structure: optimized geometry

## Properties
**Electronic total energy**: -16.9 eV per cell
**Raw formation energy**: -0.52 eV per atom

Lattice parameters (Å, degrees): 4.0971 4.0971 14.2301 90.00 90.00 120.00
Space group R-3m (No. 166, hexagonal axes)
Inequivalent atoms, fractional coordinates:
1 K 0.0000 0.0000 0.0000
2 Se 0.0000 0.0000 0.5000


Compound: TiCr3I
Source: the Alexandria database
Functional: PBE
Structure: optimized geometry

## Properties
**Electronic total energy**: -31.1 eV per cell
**Polymorph energy (0 for the lowest one)**: 0.0 meV per atom
**Raw formation energy**: 1.45 eV per atom

Lattice parameters (Å, degrees): 4.781 4.781 4.781 90.00 90.00 90.00
Space group Pm-3m (No. 221)
Inequivalent atoms, fractional coordinates:
1 Ti 0.000 0.000 0.000
2 Cr 0.000 0.000 0.500
3 I 0.500 0.500 0.500


Compound: La2YSc
Source: the Alexandria database
Functional: PBE
Structure: optimized geometry

## Properties
**Electronic total energy**: -67.3 eV per cell
**DFT formation energy**: 20 kJ/mol of formula units
**Polymorph energy (0 for the lowest one)**: 10.8 meV per atom

Lattice parameters (Å, degrees): 3.6050 3.6050 34.2253 90.00 90.00 120.00
Space group R-3m (No. 166, hexagonal axes)
Inequivalent atoms, fractional coordinates:
1 La 0.0000 0.0000 0.2464
2 Y 0.0000 0.0000 0.0000
3 Sc 0.0000 0.0000 0.5000